No. 1
VASP calculation (PBE) on AcNd2Cd2In2 after structural relaxation.

Output
SG = R-3m (166)
Calculated formation energy = -305 meV/atom

The structure in POSCAR format:
```
AcNd2Cd2In2
1.0
-1.869 -3.174 3.443
1.112 -4.913 -0.233
7.459 -1.214 6.621
Ac Nd Cd In
1 2 2 2
direct
0.000 0.000 0.000
0.132 0.132 0.605
0.868 0.868 0.395
0.585 0.585 0.246
0.415 0.415 0.754
0.741 0.741 0.777
0.259 0.259 0.223
```


No. 2
VASP calculation (PBE) on ThGa4IrRh2 after structural relaxation.

Output
SG = R-3m (166)
Calculated formation energy = -612 meV/atom

The structure in POSCAR format:
```
ThGa4IrRh2
1.0
-0.117 -1.209 4.091
2.036 -3.540 1.238
7.873 3.137 3.378
Th Ga Ir Rh
1 4 1 2
direct
0.000 0.000 0.000
0.402 0.402 0.795
0.868 0.868 0.395
0.132 0.132 0.605
0.598 0.598 0.205
0.500 0.500 0.500
0.766 0.766 0.702
0.234 0.234 0.298
```


No. 3
VASP calculation (PBE) on ScSi2Ge after structural relaxation.

Output
SG = I-42d (122)
DFT total energy = -5.49 eV/atom

The structure in POSCAR format:
```
ScSi2Ge
1.0
7.282 0.000 0.000
0.000 7.282 0.000
3.641 3.641 2.749
Sc Ge Si
2 2 4
direct
0.500 0.500 0.000
0.250 0.750 0.500
0.000 0.000 0.000
0.750 0.250 0.500
0.652 0.125 0.250
0.098 0.625 0.250
0.375 0.348 0.750
0.875 0.902 0.750
```


No. 4
VASP calculation (PBE) on Ba3WN3 after structural relaxation.

Output
SG = P6_3/m (176)
DFT total energy = -6.98 eV/atom

The structure in POSCAR format:
```
Ba3WN3
1.0
-1.403 7.998 2.428
-2.416 -6.424 4.973
5.049 0.101 2.584
Ba W N
6 2 6
direct
0.907 0.642 0.250
0.735 0.093 0.250
0.358 0.265 0.250
0.093 0.358 0.750
0.265 0.907 0.750
0.642 0.735 0.750
0.667 0.333 0.750
0.333 0.667 0.250
0.875 0.564 0.750
0.690 0.125 0.750
0.436 0.310 0.750
0.125 0.436 0.250
0.310 0.875 0.250
0.564 0.690 0.250
```


No. 5
VASP calculation (PBE) on CdAs2PdO8 after structural relaxation.

Output
SG = I-4m2 (119)
DFT total energy = -5.26 eV/atom

The structure in POSCAR format:
```
CdAs2PdO8
1.0
5.929 0.052 0.000
-2.583 5.337 0.000
-1.673 -2.695 5.010
Cd As Pd O
1 2 1 8
direct
0.000 0.000 0.000
0.750 0.250 0.500
0.500 0.500 0.000
0.250 0.750 0.500
0.386 0.063 0.323
0.317 0.499 0.182
0.317 0.134 0.818
0.741 0.063 0.677
0.866 0.683 0.182
0.937 0.259 0.323
0.937 0.614 0.677
0.501 0.683 0.818
```


No. 6
VASP calculation (PBE) on Ti3BN after structural relaxation.

Output
SG = Pm-3m (221)
Offset from the most stable computed form = 0 meV per atom

The structure in POSCAR format:
```
Ti3BN
1.0
3.985 0.000 0.000
0.000 3.985 0.000
0.000 0.000 3.985
B N Ti
1 1 3
direct
0.500 0.500 0.500
0.000 0.000 0.000
0.000 0.500 0.000
0.000 0.000 0.500
0.500 0.000 0.000
```


No. 7
VASP calculation (PBE) on TlSiSe2 after structural relaxation.

Output
SG = I-42d (122)
DFT total energy = -3.86 eV/atom

The structure in POSCAR format:
```
TlSiSe2
1.0
7.267 0.000 0.000
0.000 7.267 0.000
3.634 3.634 4.799
Tl Si Se
2 2 4
direct
0.000 0.000 0.000
0.750 0.250 0.500
0.500 0.500 0.000
0.250 0.750 0.500
0.527 0.125 0.250
0.223 0.625 0.250
0.375 0.473 0.750
0.875 0.777 0.750
```


No. 8
VASP calculation (PBE) on GaNiN after structural relaxation.

Output
SG = C2/m (12)
DFT total energy = -5.64 eV/atom

The structure in POSCAR format:
```
GaNiN
1.0
-1.804 1.331 -1.581
1.910 -1.955 -1.445
-7.582 -6.046 3.563
Ga N Ni
2 2 2
direct
0.100 0.201 0.124
0.900 0.799 0.876
0.467 0.933 0.440
0.533 0.067 0.560
0.128 0.255 0.695
0.872 0.745 0.305
```


No. 9
VASP calculation (PBE) on InFe2W after structural relaxation.

Output
SG = P4mm (99)
Calculated formation energy = 280 meV/atom

The structure in POSCAR format:
```
InFe2W
1.0
2.872 0.455 0.000
-0.456 2.872 0.000
0.000 0.000 7.119
Fe In W
2 1 1
direct
0.000 0.000 0.017
0.500 0.500 0.206
0.000 0.000 0.481
0.500 0.500 0.795
```


No. 10
VASP calculation (PBE) on SrLa14Tb after structural relaxation.

Output
SG = P4/mmm (123)
Calculated formation energy = 36 meV/atom

The structure in POSCAR format:
```
SrLa14Tb
1.0
7.496 -0.016 0.000
0.016 7.496 0.000
0.000 0.000 10.530
Sr La Tb
1 14 1
direct
0.875 0.875 0.500
0.875 0.875 0.000
0.375 0.375 0.000
0.875 0.375 0.500
0.875 0.375 0.000
0.375 0.875 0.500
0.375 0.875 0.000
0.616 0.134 0.245
0.616 0.134 0.755
0.134 0.616 0.245
0.134 0.616 0.755
0.616 0.616 0.245
0.616 0.616 0.755
0.134 0.134 0.245
0.134 0.134 0.755
0.375 0.375 0.500
```


No. 11
VASP calculation (PBE) on BaNiP2 after structural relaxation.

Output
SG = P4/mmm (123)
Calculated formation energy = 360 meV/atom

The structure in POSCAR format:
```
BaNiP2
1.0
-0.822 1.714 3.939
2.786 -2.841 1.818
3.312 2.886 -0.564
Ba Ni P
1 1 2
direct
0.500 0.000 0.500
0.000 0.500 0.500
0.000 0.000 0.000
0.500 0.500 0.000
```


No. 12
VASP calculation (PBE) on CaP2Pd after structural relaxation.

Output
SG = Fm-3m (225)
Calculated formation energy = -256 meV/atom
Offset from the most stable computed form = 432 meV per atom

The structure in POSCAR format:
```
CaP2Pd
1.0
0.000 3.283 3.283
3.283 0.000 3.283
3.283 3.283 0.000
P Ca Pd
2 1 1
direct
0.250 0.250 0.250
0.750 0.750 0.750
0.000 0.000 0.000
0.500 0.500 0.500
```


No. 13
VASP calculation (PBE) on Mg3NbV after structural relaxation.

Output
SG = Pm-3m (221)
Calculated formation energy = 1292 meV/atom
Offset from the most stable computed form = 0 meV per atom

The structure in POSCAR format:
```
Mg3NbV
1.0
4.972 0.000 0.000
0.000 4.972 0.000
0.000 0.000 4.972
Nb Mg V
1 3 1
direct
0.500 0.500 0.500
0.000 0.500 0.000
0.000 0.000 0.500
0.500 0.000 0.000
0.000 0.000 0.000
```